Arrangement a

The following is a GGA-PBE calculation of a relaxed BeTlTe2 crystal, from Alexandria.

abc: 8.0414 8.0414 8.0414
angles: 36.77 36.77 36.77
Last column: nearest neighbours and their distance in Å.
Atoms (fractional coordinates):
Be 0.0000 0.0000 0.0000  2 Te 2.23
Tl 0.5000 0.5000 0.5000  6 Te 3.30
Te 0.0993 0.0993 0.0993  1 Be 2.23
Te 0.9007 0.9007 0.9007  1 Be 2.23

## Properties
The value obtained for the density is 4.66 g cm⁻³. For the total magnetization, the calculation gives 0.0 Bohr magnetons per cell.


Arrangement b

The following is a GGA-PBE calculation of a relaxed BeTlTe2 crystal, from Alexandria.

abc: 5.3566 5.3566 4.4088
angles: 75.04 75.04 104.90
Last column: nearest neighbours and their distance in Å.
Atoms (fractional coordinates):
Tl 0.5000 0.0000 0.5000  4 Te 3.00, 2 Be 3.26
Be 0.0000 0.5000 0.5000  4 Te 3.00, 2 Tl 3.26
Te 0.0000 0.0000 0.0000  2 Be 3.00, 2 Tl 3.00, 2 Te 3.26
Te 0.5000 0.5000 0.0000  2 Tl 3.00, 2 Be 3.00, 2 Te 3.26

## Properties
The value obtained for the density is 7.03 g cm⁻³. For the total magnetization, the calculation gives 0.0 Bohr magnetons per cell.


The structure with the most favorable energy is arrangement a; the runner-up is 0.339 eV/atom above it.


Arrangement a

The following is a GGA-PBE calculation of a relaxed BeTlTe2 crystal, from Alexandria.

abc: 5.2820 5.2820 5.2820
angles: 60.00 60.00 60.00
Last column: nearest neighbours and their distance in Å.
Atoms (fractional coordinates):
Tl 0.5000 0.5000 0.5000  8 Te 3.23
Be 0.0000 0.0000 0.0000  8 Te 3.23
Te 0.2500 0.2500 0.2500  4 Tl 3.23, 4 Be 3.23
Te 0.7500 0.7500 0.7500  4 Tl 3.23, 4 Be 3.23

## Properties
The value obtained for the density is 7.47 g cm⁻³. For the total magnetization, the calculation gives 0.0 Bohr magnetons per cell.


Arrangement b

The following is a GGA-PBE calculation of a relaxed BeTlTe2 crystal, from Alexandria.

abc: 5.3533 5.3534 3.6449
angles: 90.00 90.00 90.11
Last column: nearest neighbours and their distance in Å.
Atoms (fractional coordinates):
Te 0.0000 0.0000 0.0000  4 Tl 3.24, 4 Be 3.24
Te 0.5000 0.5000 0.0000  4 Be 3.24, 4 Tl 3.24
Tl 0.5000 0.0000 0.5000  8 Te 3.24
Be 0.0000 0.5000 0.5000  8 Te 3.24

## Properties
The value obtained for the density is 7.45 g cm⁻³. For the total magnetization, the calculation gives 0.0 Bohr magnetons per cell.


Arrangement c

The following is a GGA-PBE calculation of a relaxed BeTlTe2 crystal, from Alexandria.

abc: 8.8157 8.8157 8.8157
angles: 24.67 24.67 24.67
Last column: nearest neighbours and their distance in Å.
Atoms (fractional coordinates):
Te 0.4747 0.4747 0.4747  3 Be 2.64
Te 0.0253 0.0253 0.0253  3 Be 2.64
Tl 0.2500 0.2500 0.2500  6 Te 3.53, 6 Tl 3.77
Be 0.7500 0.7500 0.7500  6 Te 2.64

## Properties
The value obtained for the density is 7.41 g cm⁻³. For the total magnetization, the calculation gives 0.0 Bohr magnetons per cell.


The structure with the most favorable energy is arrangement c; the runner-up is 0.560 eV/atom above it.


Arrangement a

The following is a GGA-PBE calculation of a relaxed BeTlTe2 crystal, from Alexandria.

abc: 3.3872 3.3872 10.0798
angles: 90.00 90.00 110.09
Last column: nearest neighbours and their distance in Å.
Atoms (fractional coordinates):
Tl 0.0000 0.0000 0.5523  2 Be 2.91
Te 0.5000 0.5000 0.2727  4 Te 3.39, 2 Tl 3.42
Te 0.0000 0.0000 0.9080  2 Be 2.41
Be 0.5000 0.5000 0.7670  2 Te 2.41

## Properties
The value obtained for the density is 7.16 g cm⁻³. For the total magnetization, the calculation gives 0.0 Bohr magnetons per cell.


Arrangement b

The following is a GGA-PBE calculation of a relaxed BeTlTe2 crystal, from Alexandria.

abc: 3.9913 3.9911 7.1470
angles: 90.00 90.00 90.00
Last column: nearest neighbours and their distance in Å.
Atoms (fractional coordinates):
Te 0.5000 0.5000 0.2674  1 Be 2.40
Te 0.0000 0.0000 0.8636  4 Be 2.86, 1 Tl 3.04
Be 0.5000 0.5000 0.9309  1 Te 2.40
Tl 0.0000 0.0000 0.4382  5 Te 3.04-3.07

## Properties
The value obtained for the density is 6.83 g cm⁻³. For the total magnetization, the calculation gives 0.0 Bohr magnetons per cell.


Arrangement c

The following is a GGA-PBE calculation of a relaxed BeTlTe2 crystal, from Alexandria.

abc: 6.0207 6.0207 6.6562
angles: 56.96 56.96 35.71
Last column: nearest neighbours and their distance in Å.
Atoms (fractional coordinates):
Te 0.5730 0.5730 0.4250  2 Be 2.48
Te 0.9270 0.9270 0.0750  2 Be 2.48
Be 0.2500 0.2500 0.2500  4 Te 2.48
Tl 0.7500 0.7500 0.7500  8 Te 3.55-3.72, 2 Tl 3.69, 4 Be 3.81

## Properties
The value obtained for the density is 6.74 g cm⁻³. For the total magnetization, the calculation gives 0.0 Bohr magnetons per cell.


The structure with the most favorable energy is arrangement c; the runner-up is 0.077 eV/atom above it.


Arrangement a

The following is a GGA-PBE calculation of a relaxed Be3TlTe crystal, from Alexandria.

abc: 4.6736 4.6736 4.6736
angles: 90.00 90.00 90.00
Last column: nearest neighbours and their distance in Å.
Atoms (fractional coordinates):
Te 0.5000 0.5000 0.5000  12 Be 3.30
Be 0.0000 0.0000 0.5000  2 Tl 2.34
Be 0.0000 0.5000 0.0000  2 Tl 2.34
Be 0.5000 0.0000 0.0000  2 Tl 2.34
Tl 0.0000 0.0000 0.0000  6 Be 2.34

## Properties
The value obtained for the density is 5.84 g cm⁻³. For the total magnetization, the calculation gives 0.0 Bohr magnetons per cell.


Arrangement b

The following is a GGA-PBE calculation of a relaxed Be3TlTe crystal, from Alexandria.

abc: 4.8113 4.8113 4.8113
angles: 90.00 90.00 90.00
Last column: nearest neighbours and their distance in Å.
Atoms (fractional coordinates):
Be 0.5000 0.0000 0.0000  2 Te 2.41
Be 0.0000 0.0000 0.5000  2 Te 2.41
Be 0.0000 0.5000 0.0000  2 Te 2.41
Te 0.0000 0.0000 0.0000  6 Be 2.41
Tl 0.5000 0.5000 0.5000  12 Be 3.40

## Properties
The value obtained for the density is 5.35 g cm⁻³. For the total magnetization, the calculation gives 0.0 Bohr magnetons per cell.


The structure with the most favorable energy is arrangement a; the runner-up is 0.118 eV/atom above it.